No. 1
This record from Alexandria describes a geometry-optimized AcEuMgSn structure. The functional is PBE.

Formation enthalpy at 0 K = -0.397 eV per atom
Space group = F-43m, No. 216
Total DFT energy (no corrections) = -21.57 eV/f.u.

Cell and atoms, written as POSCAR:
```
AcEuMgSn
1.0
0.000 4.020 4.020
4.020 0.000 4.020
4.020 4.020 0.000
Ac Eu Mg Sn
1 1 1 1
direct
0.000 0.000 0.000 Ac
0.500 0.500 0.500 Eu
0.750 0.750 0.750 Mg
0.250 0.250 0.250 Sn
```


No. 2
This record from Alexandria describes a geometry-optimized AcTbEuMg structure. The functional is PBE.

Formation enthalpy at 0 K = 0.120 eV per atom
Space group = F-43m, No. 216
Total DFT energy (no corrections) = -20.13 eV/f.u.

Cell and atoms, written as POSCAR:
```
AcTbEuMg
1.0
0.000 4.125 4.125
4.125 0.000 4.125
4.125 4.125 0.000
Ac Tb Eu Mg
1 1 1 1
direct
0.000 0.000 0.000 Ac
0.750 0.750 0.750 Tb
0.250 0.250 0.250 Eu
0.500 0.500 0.500 Mg
```


No. 3
This record from Alexandria describes a geometry-optimized AcEuThMg structure. The functional is PBE.

Formation enthalpy at 0 K = 0.241 eV per atom
Space group = F-43m, No. 216
Total DFT energy (no corrections) = -22.43 eV/f.u.

Cell and atoms, written as POSCAR:
```
AcEuThMg
1.0
0.000 4.125 4.125
4.125 0.000 4.125
4.125 4.125 0.000
Ac Eu Th Mg
1 1 1 1
direct
0.000 0.000 0.000 Ac
0.750 0.750 0.750 Eu
0.250 0.250 0.250 Th
0.500 0.500 0.500 Mg
```


No. 4
This record from Alexandria describes a geometry-optimized AcEuYMg structure. The functional is PBE.

Formation enthalpy at 0 K = 0.118 eV per atom
Space group = F-43m, No. 216
Total DFT energy (no corrections) = -21.97 eV/f.u.

Cell and atoms, written as POSCAR:
```
AcEuYMg
1.0
0.000 4.125 4.125
4.125 0.000 4.125
4.125 4.125 0.000
Ac Eu Y Mg
1 1 1 1
direct
0.000 0.000 0.000 Ac
0.750 0.750 0.750 Eu
0.250 0.250 0.250 Y
0.500 0.500 0.500 Mg
```